No. 1
This record from the Alexandria database describes NpGePd after structural relaxation. The functional is PBE.

Unit cell a=4.583 b=4.583 c=3.175 alpha=90.00 beta=90.00 gamma=120.00
Element x y z (fractional)
Np 0.000 0.000 0.000
Ge 0.333 0.667 0.500
Pd 0.667 0.333 0.500

Properties
total moment = 1.258 μB/atom
E_form = -0.3931 eV per atom
V = 19.25 A^3/atom

No. 2
This record from the Alexandria database describes Np3Ge4Pd4 after structural relaxation. The functional is PBE.

Unit cell a=8.165 b=6.511 c=6.511 alpha=36.70 beta=90.00 gamma=90.00
Element x y z (fractional)
Np 0.000 0.000 0.000
Np 0.259 0.103 0.103
Np 0.741 0.103 0.103
Ge 0.000 0.674 0.674
Ge 0.249 0.432 0.432
Ge 0.500 0.673 0.673
Ge 0.751 0.432 0.432
Pd 0.000 0.305 0.305
Pd 0.253 0.806 0.806
Pd 0.500 0.308 0.308
Pd 0.747 0.806 0.806

Properties
total moment = 0.551 μB/atom
offset from the most stable computed form = 94.2 meV per atom
E_form = -0.3355 eV per atom
V = 18.81 A^3/atom

No. 3
This record from the Alexandria database describes Np2Ge5Pd3 after structural relaxation. The functional is PBE.

Unit cell a=12.584 b=12.584 c=6.760 alpha=90.00 beta=90.00 gamma=159.65
Element x y z (fractional)
Np 0.017 0.983 0.500
Np 0.325 0.675 0.498
Np 0.675 0.325 0.998
Np 0.983 0.017 0.000
Ge 0.103 0.897 0.156
Ge 0.208 0.792 0.703
Ge 0.211 0.789 0.282
Ge 0.384 0.616 0.025
Ge 0.453 0.547 0.321
Ge 0.547 0.453 0.821
Ge 0.616 0.384 0.525
Ge 0.789 0.211 0.782
Ge 0.792 0.208 0.203
Ge 0.897 0.103 0.656
Pd 0.107 0.893 0.771
Pd 0.282 0.718 0.988
Pd 0.442 0.558 0.712
Pd 0.558 0.442 0.212
Pd 0.718 0.282 0.488
Pd 0.893 0.107 0.271

Properties
total moment = 0.829 μB/atom
offset from the most stable computed form = 17.1 meV per atom
E_form = -0.3463 eV per atom
V = 18.62 A^3/atom